HfAl2Mo: relaxed, PBE.

As for the symmetry: No. 225. The value obtained for the density of states at the Fermi level is 5.04 states/eV/f.u. Its crystal system is cubic. The value obtained for the polymorph energy (0 for the lowest one) is 0.183 eV/atom. The total energy is -28.64 eV per cell. Its energy of formation is -0.09 eV/atom.

Unit cell a=4.5632 b=4.5632 c=4.5632 alpha=60.00 beta=60.00 gamma=60.00
Sites, in units of the cell vectors:
Mo  0.0000  0.0000  0.0000
Hf  0.5000  0.5000  0.5000
Al  0.2500  0.2500  0.2500
Al  0.7500  0.7500  0.7500